The following is a PBE-GGA calculation of a relaxed structure of PaNbAs, from Alexandria via LeMat-Bulk.

Unit cell a=5.878 b=5.878 c=5.878 alpha=146.54 beta=146.54 gamma=48.04
Fractional positions:
1 Pa 0.000 0.000 0.000
2 Nb 0.697 0.697 0.000
3 As 0.308 0.308 0.000

Computed properties:
DOS(E_F), states/eV per cell: 4.78
Space-group type: No. 107
DFT formation energy, eV/atom: -0.37
Electronic total energy, eV/atom: -8.44

The following is a PBE-GGA calculation of a relaxed structure of CaLuTh, from Alexandria via LeMat-Bulk.

Unit cell a=3.592 b=3.592 c=8.973 alpha=90.00 beta=90.00 gamma=120.00
Fractional positions:
1 Ca 0.000 0.000 0.000
2 Lu 0.667 0.333 0.347
3 Th 0.333 0.667 0.652

Computed properties:
DOS(E_F), states/eV per cell: 5.09
Space-group type: No. 156
DFT formation energy, eV/atom: 0.11
Electronic total energy, eV/atom: -4.54

The following is a PBE-GGA calculation of a relaxed structure of AcTb3, from Alexandria via LeMat-Bulk.

Unit cell a=6.933 b=6.933 c=6.933 alpha=148.56 beta=64.46 gamma=125.30
Fractional positions:
1 Ac 0.000 0.000 0.000
2 Tb 0.102 0.347 0.755
3 Tb 0.508 0.008 0.500
4 Tb 0.592 0.347 0.245

Computed properties:
DOS(E_F), states/eV per cell: 6.80
Space-group type: No. 44
DFT formation energy, eV/atom: 0.05
Electronic total energy, eV/atom: -4.44

The following is a PBE-GGA calculation of a relaxed structure of Ac5Cd2Pb2, from Alexandria via LeMat-Bulk.

Unit cell a=9.876 b=9.876 c=8.810 alpha=90.00 beta=90.00 gamma=52.86
Fractional positions:
1 Ac 0.000 0.000 0.000
2 Ac 0.031 0.685 0.669
3 Ac 0.185 0.531 0.169
4 Ac 0.315 0.969 0.669
5 Ac 0.469 0.815 0.169
6 Ac 0.500 0.500 0.500
7 Ac 0.531 0.185 0.831
8 Ac 0.685 0.031 0.331
9 Ac 0.815 0.469 0.831
10 Ac 0.969 0.315 0.331
11 Cd 0.122 0.878 0.377
12 Cd 0.378 0.622 0.877
13 Cd 0.622 0.378 0.123
14 Cd 0.878 0.122 0.623
15 Pb 0.205 0.205 0.000
16 Pb 0.295 0.295 0.500
17 Pb 0.705 0.705 0.500
18 Pb 0.795 0.795 0.000

Computed properties:
DOS(E_F), states/eV per cell: 19.75
Space-group type: No. 64
DFT formation energy, eV/atom: -0.35
Electronic total energy, eV/atom: -3.66

The following is a PBE-GGA calculation of a relaxed structure of BaMnAl2, from Alexandria via LeMat-Bulk.

Unit cell a=4.545 b=4.545 c=4.895 alpha=90.00 beta=90.00 gamma=90.00
Fractional positions:
1 Ba 0.000 0.000 0.000
2 Mn 0.500 0.500 0.000
3 Al 0.000 0.500 0.500
4 Al 0.500 0.000 0.500

Computed properties:
DOS(E_F), states/eV per cell: 3.68
Space-group type: No. 123
DFT formation energy, eV/atom: 0.47
Electronic total energy, eV/atom: -4.18

The following is a PBE-GGA calculation of a relaxed structure of ZrBeZn2, from Alexandria via LeMat-Bulk.

Unit cell a=4.011 b=4.011 c=4.983 alpha=113.55 beta=113.55 gamma=59.86
Fractional positions:
1 Zr 0.000 0.000 0.000
2 Be 0.782 0.782 0.349
3 Zn 0.214 0.214 0.643
4 Zn 0.477 0.477 0.432

Computed properties:
DOS(E_F), states/eV per cell: 1.74
Space-group type: No. 8
DFT formation energy, eV/atom: -0.07
Electronic total energy, eV/atom: -3.78

The following is a PBE-GGA calculation of a relaxed structure of Ba2SrGa2, from Alexandria via LeMat-Bulk.

Unit cell a=7.336 b=7.336 c=7.336 alpha=132.73 beta=132.73 gamma=69.08
Fractional positions:
1 Ba 0.144 0.144 0.000
2 Ba 0.856 0.856 0.000
3 Sr 0.500 0.500 0.000
4 Ga 0.250 0.750 0.500
5 Ga 0.750 0.250 0.500

Computed properties:
DOS(E_F), states/eV per cell: 3.79
Space-group type: No. 139
DFT formation energy, eV/atom: 0.00
Electronic total energy, eV/atom: -2.32

The following is a PBE-GGA calculation of a relaxed structure of HfSI3, from Alexandria via LeMat-Bulk.

Unit cell a=5.646 b=5.646 c=5.646 alpha=90.00 beta=90.00 gamma=90.00
Fractional positions:
1 Hf 0.000 0.000 0.000
2 S 0.500 0.500 0.500
3 I 0.000 0.000 0.500
4 I 0.000 0.500 0.000
5 I 0.500 0.000 0.000

Computed properties:
DOS(E_F), states/eV per cell: 11.40
Space-group type: No. 221
Electronic total energy, eV/atom: -3.67

The following is a PBE-GGA calculation of a relaxed structure of CuSn2Au6, from Alexandria via LeMat-Bulk.

Unit cell a=5.764 b=5.764 c=6.316 alpha=90.07 beta=90.07 gamma=60.03
Fractional positions:
1 Cu 0.000 0.000 0.000
2 Sn 0.333 0.333 0.118
3 Sn 0.667 0.667 0.882
4 Au 0.170 0.170 0.688
5 Au 0.170 0.659 0.688
6 Au 0.341 0.830 0.312
7 Au 0.659 0.170 0.688
8 Au 0.830 0.341 0.312
9 Au 0.830 0.830 0.312

Computed properties:
DOS(E_F), states/eV per cell: 2.44
Space-group type: No. 12
DFT formation energy, eV/atom: -0.01
Electronic total energy, eV/atom: -3.54

The following is a PBE-GGA calculation of a relaxed structure of LaHg2Pt, from Alexandria via LeMat-Bulk.

Unit cell a=9.879 b=9.879 c=9.879 alpha=19.71 beta=19.71 gamma=19.71
Fractional positions:
1 La 0.000 0.000 0.000
2 Hg 0.239 0.239 0.239
3 Hg 0.761 0.761 0.761
4 Pt 0.500 0.500 0.500

Computed properties:
DOS(E_F), states/eV per cell: 2.57
Space-group type: No. 166
DFT formation energy, eV/atom: -0.06
Electronic total energy, eV/atom: -2.95

The following is a PBE-GGA calculation of a relaxed structure of Nd12SmTl6, from Alexandria via LeMat-Bulk.

Unit cell a=8.447 b=8.447 c=8.447 alpha=88.88 beta=88.88 gamma=88.88
Fractional positions:
1 Nd 0.081 0.385 0.120
2 Nd 0.120 0.081 0.385
3 Nd 0.192 0.565 0.469
4 Nd 0.385 0.120 0.081
5 Nd 0.435 0.531 0.808
6 Nd 0.469 0.192 0.565
7 Nd 0.531 0.808 0.435
8 Nd 0.565 0.469 0.192
9 Nd 0.615 0.880 0.919
10 Nd 0.808 0.435 0.531
11 Nd 0.880 0.919 0.615
12 Nd 0.919 0.615 0.880
13 Sm 0.000 0.000 0.000
14 Tl 0.126 0.279 0.744
15 Tl 0.256 0.874 0.721
16 Tl 0.279 0.744 0.126
17 Tl 0.721 0.256 0.874
18 Tl 0.744 0.126 0.279
19 Tl 0.874 0.721 0.256

Computed properties:
DOS(E_F), states/eV per cell: 18.63
Space-group type: No. 148
DFT formation energy, eV/atom: -0.16
Electronic total energy, eV/atom: -4.17

The following is a PBE-GGA calculation of a relaxed structure of Nd4DySc2, from Alexandria via LeMat-Bulk.

Unit cell a=3.587 b=8.476 c=14.844 alpha=100.09 beta=90.13 gamma=90.04
Fractional positions:
1 Nd 0.242 0.062 0.402
2 Nd 0.247 0.563 0.114
3 Nd 0.251 0.633 0.449
4 Nd 0.252 0.180 0.012
5 Nd 0.748 0.820 0.988
6 Nd 0.749 0.367 0.551
7 Nd 0.753 0.437 0.886
8 Nd 0.758 0.938 0.598
9 Dy 0.249 0.673 0.734
10 Dy 0.751 0.327 0.266
11 Sc 0.251 0.251 0.715
12 Sc 0.251 0.979 0.180
13 Sc 0.749 0.021 0.820
14 Sc 0.749 0.749 0.285

Computed properties:
DOS(E_F), states/eV per cell: 20.68
Space-group type: No. 2
DFT formation energy, eV/atom: 0.08
Electronic total energy, eV/atom: -5.11